Below is a geometry-optimized CaCoN2O structure, with properties calculated at the GGA+U level.

Unit cell a=3.6123 b=3.6123 c=4.2546 alpha=90.00 beta=90.00 gamma=90.00
Space group P4/mmm (No. 123)
Inequivalent atoms, fractional coordinates:
Ca1 0.0000 0.0000 0.0000 [1 per cell]
Co1 0.5000 0.5000 0.5000 [1 per cell]
N1 0.0000 0.5000 0.5000 [2 per cell]
O1 0.5000 0.5000 0.0000 [1 per cell]

Summary:
total magnetization: 2.173 μB/f.u.
E: -5.8186 eV/atom